1.
Compound: NaDySeO4
Source: Alexandria via LeMat-Bulk
Functional: PBE
Structure: optimized geometry

```
data_NaDySeO4
_chemical_formula_sum 'Na4 Dy4 Se4 O16'
_cell_length_a 6.7071
_cell_length_b 7.0834
_cell_length_c 8.7018
_cell_angle_alpha 90.00
_cell_angle_beta 90.00
_cell_angle_gamma 90.00
_space_group_name_H-M_alt 'I m m a'
_space_group_IT_number 74
_space_group_name_Hall '-I 2b 2'
loop_
_atom_site_label
_atom_site_fract_x
_atom_site_fract_y
_atom_site_fract_z
Na1 0.0000 0.0000 0.0000
Dy1 0.2500 0.2500 0.2500
Se1 0.0000 0.2500 0.6475
O1 0.0000 0.0420 0.2523
O2 0.2052 0.2500 0.5257
```

E_form (uncorrected) ... -1.847 eV/atom

=====

2.
Compound: ScI2BrO
Source: Alexandria via LeMat-Bulk
Functional: PBE
Structure: optimized geometry

```
data_ScI2BrO
_chemical_formula_sum 'Sc1 I2 Br1 O1'
_cell_length_a 6.1404
_cell_length_b 6.1404
_cell_length_c 3.8324
_cell_angle_alpha 90.00
_cell_angle_beta 90.00
_cell_angle_gamma 90.00
_space_group_name_H-M_alt 'P 4/m m m'
_space_group_IT_number 123
_space_group_name_Hall '-P 4 2'
loop_
_atom_site_label
_atom_site_fract_x
_atom_site_fract_y
_atom_site_fract_z
Sc1 0.0000 0.0000 0.0000
I1 0.0000 0.5000 0.0000
Br1 0.5000 0.5000 0.5000
O1 0.0000 0.0000 0.5000
```

Distance to the lowest polymorph of the same formula ... 0 meV per atom
E_form (uncorrected) ... -0.987 eV/atom

=====

3.
Compound: LaIn2Ir
Source: Alexandria via LeMat-Bulk
Functional: PBE
Structure: optimized geometry

```
data_LaIn2Ir
_chemical_formula_sum 'La3 In6 Ir3'
_cell_length_a 4.8028
_cell_length_b 4.8028
_cell_length_c 15.0872
_cell_angle_alpha 90.00
_cell_angle_beta 90.00
_cell_angle_gamma 120.00
_space_group_name_H-M_alt 'R 3 m'
_space_group_IT_number 160
_space_group_name_Hall 'R 3 -2"'
loop_
_atom_site_label
_atom_site_fract_x
_atom_site_fract_y
_atom_site_fract_z
La1 0.0000 0.0000 0.0000
In1 0.0000 0.0000 0.2148
In2 0.0000 0.0000 0.4545
Ir1 0.0000 0.0000 0.8148
```

Formation enthalpy at 0 K ... -0.446 eV/atom

=====

Number 1 is which compound? NaDySeO4

=====

Number 2 is which compound? ScI2BrO

=====

What is the formula in the third record? LaIn2Ir